Record 1
# LaPb2

A relaxed structure of LaPb2 (PBE-GGA, Alexandria).

Cell and atoms, written as POSCAR:
```
LaPb2
1.0
0.000 4.601 4.601
4.601 0.000 4.601
4.601 4.601 0.000
La Pb
2 4
Direct
0.125 0.125 0.125 La
0.875 0.875 0.875 La
0.000 0.500 0.500 Pb
0.500 0.000 0.500 Pb
0.500 0.500 0.000 Pb
0.500 0.500 0.500 Pb
```

Values from the calculation:
The total moment comes out at 0.0 μB/cell. As for the crystal system: cubic. The value obtained for the raw total energy is -26.46 eV per cell.

Record 2
# La13Pb2

A relaxed structure of La13Pb2 (PBE-GGA, Alexandria).

Cell and atoms, written as POSCAR:
```
La13Pb2
1.0
6.357 0.000 0.000
0.899 8.290 0.000
2.899 3.096 9.956
La Pb
13 2
Direct
0.000 0.000 0.000 La
0.050 0.401 0.732 La
0.195 0.177 0.226 La
0.267 0.590 0.942 La
0.315 0.016 0.647 La
0.426 0.398 0.403 La
0.475 0.797 0.138 La
0.525 0.203 0.862 La
0.574 0.602 0.597 La
0.685 0.984 0.353 La
0.733 0.410 0.058 La
0.805 0.823 0.774 La
0.950 0.599 0.268 La
0.144 0.777 0.466 Pb
0.856 0.223 0.534 Pb
```

Values from the calculation:
The total moment comes out at 0.0 μB/cell. As for the crystal system: triclinic. The value obtained for the raw total energy is -73.77 eV per cell.

Number 1: DFT formation energy -0.89 eV/f.u.. Number 2: DFT formation energy -2.29 eV/f.u..